[1]
Cu3Ag7 (GGA-PBE, optimized geometry); space-group type = No. 12; total energy = -3.02 eV/atom
1.0
9.6996 -1.4510 0.0000
9.6996 1.4510 0.0000
-0.8657 0.0000 5.7746
Ag Cu
7 3
direct
0.6988 0.6988 0.1116
0.9050 0.9050 0.1827
0.3085 0.3085 0.4134
0.5000 0.5000 0.5000
0.6915 0.6915 0.5866
0.0950 0.0950 0.8173
0.3012 0.3012 0.8884
0.5000 0.5000 0.0000
0.0911 0.0911 0.2829
0.9089 0.9089 0.7171

[2]
CuAg (GGA-PBE, optimized geometry); space-group type = No. 8; total energy = -3.18 eV/atom
1.0
7.2197 -1.8671 0.0000
7.2197 1.8671 0.0000
-1.1857 0.0000 5.5564
Ag Cu
5 5
direct
0.1964 0.1964 0.0896
0.4016 0.4016 0.1873
0.5928 0.5928 0.2982
0.8077 0.8077 0.4157
0.2003 0.2003 0.6141
0.0011 0.0011 0.5236
0.4078 0.4078 0.7088
0.5894 0.5894 0.7950
0.8067 0.8067 0.8952
0.9963 0.9963 0.9726

[3]
Cu4Ag3 (GGA-PBE, optimized geometry); space-group type = No. 44; total energy = -3.25 eV/atom
1.0
-1.3899 1.8449 9.8868
1.3899 -1.8449 9.8868
1.3899 1.8449 -9.8868
Ag Cu
3 4
direct
0.4377 0.4377 0.0000
0.7086 0.7086 0.0000
0.8534 0.8534 0.0000
0.0106 0.0106 0.0000
0.1360 0.1360 0.0000
0.2807 0.2807 0.0000
0.5730 0.5730 0.0000

[4]
Cu3Ag2 (GGA-PBE, optimized geometry); space-group type = No. 12; total energy = -3.27 eV/atom
1.0
11.1355 -1.4063 0.0000
11.1355 1.4063 0.0000
-0.6740 0.0000 4.5752
Ag Cu
4 6
direct
0.6559 0.6559 0.0534
0.9536 0.9536 0.1807
0.0464 0.0464 0.8193
0.3441 0.3441 0.9466
0.2542 0.2542 0.2734
0.5579 0.5579 0.3398
0.8475 0.8475 0.4537
0.1525 0.1525 0.5463
0.4421 0.4421 0.6602
0.7458 0.7458 0.7266

[5]
Cu3Ag2 (GGA-PBE, optimized geometry); space-group type = No. 123; total energy = -3.30 eV/atom
1.0
-1.0907 0.6815 2.4452
2.4182 -0.5303 1.2265
5.2098 17.7139 -2.6128
Ag Cu
4 6
direct
0.0000 0.0000 0.1041
0.5000 0.5000 0.2250
0.5000 0.5000 0.7750
0.0000 0.0000 0.8959
0.5000 0.5000 0.0000
0.0000 0.0000 0.3287
0.5000 0.5000 0.4141
0.0000 0.0000 0.5000
0.5000 0.5000 0.5859
0.0000 0.0000 0.6713

[6]
Cu2Ag7 (GGA-PBE, optimized geometry); space-group type = No. 164; total energy = -2.97 eV/atom
1.0
2.8909 0.0000 0.0000
-1.4455 2.5036 0.0000
0.0000 0.0000 20.7747
Ag Cu
7 2
direct
0.0000 0.0000 0.1502
0.6667 0.3333 0.2675
0.3333 0.6667 0.3839
0.0000 0.0000 0.5000
0.6667 0.3333 0.6161
0.3333 0.6667 0.7325
0.0000 0.0000 0.8498
0.3333 0.6667 0.0455
0.6667 0.3333 0.9545